First-principles (PBE) data for HfSc2MnS6 after structural relaxation, as listed in Alexandria.

Formation energy (no corrections): -1.4961 eV/atom

abc: 6.4138 6.4138 17.5868
angles: 90.00 90.00 120.00
Space group R3 (No. 146, hexagonal axes)
One atom of each set of equivalent atoms:
1 Hf 0.0000 0.0000 0.0000 (multiplicity 3)
2 Sc 0.0000 0.0000 0.3124 (multiplicity 3)
3 Sc 0.0000 0.0000 0.8098 (multiplicity 3)
4 Mn 0.0000 0.0000 0.5054 (multiplicity 3)
5 S 0.0236 0.3561 0.5727 (multiplicity 9)
6 S 0.0261 0.6774 0.0734 (multiplicity 9)